No. 1
First-principles (GGA-PBE) data for an optimized crystal structure of Ti2InWC, as listed in the Alexandria database.

Computed properties:
N(E_F): 6.01 states/eV/f.u.
formation enthalpy at 0 K: -246.8 meV per atom

a b c (Å): 4.335 4.086 4.335
angles (deg): 90.00 90.00 90.00
Fractional coordinates of all 5 atoms:
W (0.000, 0.500, 0.000)
Ti (0.500, 0.000, 0.000)
Ti (0.000, 0.000, 0.500)
In (0.500, 0.500, 0.500)
C (0.000, 0.000, 0.000)

---

No. 2
First-principles (GGA-PBE) data for an optimized crystal structure of YTi2InC, as listed in the Alexandria database.

Computed properties:
N(E_F): 3.93 states/eV/f.u.
formation enthalpy at 0 K: -416.8 meV per atom

a b c (Å): 4.341 4.341 4.799
angles (deg): 90.00 90.00 90.00
Each line ends with the local moment (μB).
Fractional coordinates of all 5 atoms:
Ti (0.500, 0.000, 0.000)  0.14
Y (0.000, 0.000, 0.500)  0.01
C (0.000, 0.000, 0.000)  -0.01
In (0.500, 0.500, 0.500)  -0.01
Ti (0.000, 0.500, 0.000)  0.14